--- a ---
DFT (GGA-PBE) results for crystalline TbHgH at its relaxed geometry.

Density in g/cm³: 10.26
DOS at the Fermi energy in states/eV per atom: 0.823
Size of the total moment in μB per atom: 0.075

Cell lengths 3.247, 3.247, 11.066 Å; angles 90.00, 90.00, 90.00 degrees
Space group I4mm (No. 107)
Symmetry-distinct sites (fractional):
Tb 0.000 0.000 0.000
Hg 0.000 0.000 0.284
H 0.000 0.000 0.542



--- b ---
DFT (GGA-PBE) results for crystalline TbHgH at its relaxed geometry.

Density in g/cm³: 10.75
DOS at the Fermi energy in states/eV per atom: 0.323
Size of the total moment in μB per atom: 0.000

Cell lengths 8.317, 6.963, 11.743 Å; angles 90.00, 100.77, 90.00 degrees
Space group P2_1/c (No. 14)
Symmetry-distinct sites (fractional):
Tb 0.027 0.218 0.230
Tb 0.200 0.561 0.044
Tb 0.413 0.627 0.365
Hg 0.139 0.140 0.984
Hg 0.284 0.571 0.691
Hg 0.434 0.169 0.393
H 0.021 0.513 0.882
H 0.190 0.516 0.242
H 0.190 0.728 0.406



The structure with the most favorable energy is b; the runner-up is 0.299 eV/atom above it.



--- a ---
DFT (GGA-PBE) results for crystalline TcHg2H2 at its relaxed geometry.

Density in g/cm³: 12.63
DOS at the Fermi energy in states/eV per atom: 0.763
Size of the total moment in μB per atom: 0.241

Cell lengths 2.955, 2.955, 15.099 Å; angles 90.00, 90.00, 90.00 degrees
Space group I4/mmm (No. 139)
Symmetry-distinct sites (fractional):
Tc 0.000 0.000 0.000
Hg 0.000 0.000 0.363
H 0.000 0.500 0.250



--- b ---
DFT (GGA-PBE) results for crystalline TcHg2H2 at its relaxed geometry.

Density in g/cm³: 10.92
DOS at the Fermi energy in states/eV per atom: 0.560
Size of the total moment in μB per atom: 0.277

Cell lengths 7.409, 7.409, 2.776 Å; angles 90.00, 90.00, 90.00 degrees
Space group P4/mbm (No. 127)
Symmetry-distinct sites (fractional):
Tc 0.000 0.000 0.000
Hg 0.135 0.365 0.000
H 0.238 0.738 0.500



The structure with the most favorable energy is a; the runner-up is 0.310 eV/atom above it.



--- a ---
DFT (GGA-PBE) results for crystalline HgTeH at its relaxed geometry.

Density in g/cm³: 7.24
DOS at the Fermi energy in states/eV per atom: 0.221
Size of the total moment in μB per atom: 0.000

Cell lengths 4.384, 6.116, 6.242 Å; angles 97.27, 109.88, 101.08 degrees
Space group P-1 (No. 2)
Symmetry-distinct sites (fractional):
Hg 0.249 0.002 0.251
Te 0.277 0.482 0.735
H 0.053 0.618 0.853



--- b ---
DFT (GGA-PBE) results for crystalline HgTeH at its relaxed geometry.

Density in g/cm³: 6.44
Size of the total moment in μB per atom: 0.000

Cell lengths 4.395, 5.741, 13.472 Å; angles 90.00, 93.19, 90.00 degrees
Space group P2_1/c (No. 14)
Symmetry-distinct sites (fractional):
Hg 0.197 0.207 0.231
Te 0.435 0.749 0.024
H 0.190 0.749 0.422



The structure with the most favorable energy is b; the runner-up is 0.011 eV/atom above it.